i:
LiLa3Hg2 (PBE-GGA, optimized geometry); V = 179 Å³/cell
1.0
-0.977 1.977 -3.300
-3.623 0.672 1.475
3.699 9.655 4.689
Hg La Li
2 3 1
direct
0.500 0.500 0.173
0.500 0.500 0.827
0.000 0.000 0.000
0.000 0.000 0.671
0.000 0.000 0.329
0.500 0.500 0.500


ii:
LiLa3Hg2 (PBE-GGA, optimized geometry); V = 178 Å³/cell
1.0
4.002 0.000 0.000
0.000 5.138 -1.701
0.000 0.017 8.662
La Hg Li
3 2 1
direct
0.500 0.171 0.342
0.500 0.500 0.000
0.500 0.829 0.658
0.000 0.343 0.687
0.000 0.657 0.313
0.000 0.000 0.000


Stability summary: most stable ii, least stable i.


i:
LiLaHg2 (PBE-GGA, optimized geometry); V = 95 Å³/cell
1.0
-1.455 4.356 -2.275
0.090 -2.332 -4.563
-2.786 -1.955 3.832
Hg Li La
2 1 1
direct
0.250 0.750 0.500
0.000 0.000 0.000
0.750 0.250 0.500
0.500 0.500 0.000


ii:
LiLaHg2 (PBE-GGA, optimized geometry); V = 101 Å³/cell
1.0
0.000 3.699 3.699
3.699 0.000 3.699
3.699 3.699 0.000
Hg Li La
2 1 1
direct
0.750 0.750 0.750
0.250 0.250 0.250
0.000 0.000 0.000
0.500 0.500 0.500


Stability summary: most stable ii, least stable i.


i:
LiLaHg2 (PBE-GGA, optimized geometry); V = 105 Å³/cell
1.0
-3.008 1.036 2.225
-0.528 -3.710 1.013
4.293 0.863 5.402
La Hg Li
1 2 1
direct
0.000 0.000 0.479
0.000 0.000 0.953
0.500 0.500 0.236
0.500 0.500 0.832


ii:
LiLaHg2 (PBE-GGA, optimized geometry); V = 232 Å³/cell
1.0
-0.398 -4.748 -1.476
4.396 -1.027 2.120
-2.349 -5.007 8.311
Hg Li La
4 2 2
direct
0.875 0.776 0.750
0.224 0.625 0.250
0.375 0.474 0.750
0.526 0.125 0.250
0.500 0.500 0.000
0.250 0.750 0.500
0.000 0.000 0.000
0.750 0.250 0.500


iii:
LiLaHg2 (PBE-GGA, optimized geometry); V = 106 Å³/cell
1.0
8.423 0.005 0.011
-3.413 4.130 -0.003
1.597 1.327 3.037
La Li Hg
1 1 2
direct
0.000 0.500 0.500
0.500 0.500 0.000
0.500 0.000 0.500
0.000 0.000 0.000


Stability summary: most stable iii, least stable ii.